A relaxed structure of Ac2LaNiO6. Source: Alexandria via LeMat-Bulk, functional PBE with a Hubbard U.

abc: 5.981 5.708 6.326
angles: 116.82 122.64 90.00
Sites, in units of the cell vectors:
O 0.784 0.298 0.129
Ac 0.242 0.262 0.525
O 0.633 0.243 0.487
La 0.000 0.500 0.000
O 0.216 0.702 0.871
Ni 0.500 0.000 0.000
O 0.784 0.831 0.129
O 0.367 0.757 0.513
Ac 0.758 0.738 0.475
O 0.216 0.169 0.871

Values from the calculation:
Density in g cm⁻³: 8.09
Total DFT energy (no corrections) in eV for the cell shown: -71.69